[1]
The following is a GGA-PBE calculation of crystalline LaNiCl2 at its relaxed geometry, from Alexandria.

a = 4.423 Å, b = 4.423 Å, c = 4.071 Å
α = 90.00°, β = 90.00°, γ = 90.00°
Element x y z (fractional)
1 La 0.000 0.000 0.000
2 Ni 0.500 0.500 0.000
3 Cl 0.000 0.500 0.500
4 Cl 0.500 0.000 0.500

VASP energy	-4.538	eV/atom
N(E_F)	2.00	states/eV per cell
formation energy from raw total energies	-0.937	eV/atom
M_tot	0.0	Bohr magnetons per cell

=====

[2]
The following is a GGA-PBE calculation of crystalline Sm5Er5Th2 at its relaxed geometry, from Alexandria.

a = 6.174 Å, b = 7.981 Å, c = 8.762 Å
α = 111.19°, β = 90.11°, γ = 104.91°
Element x y z (fractional)
1 Sm 0.000 0.000 0.000
2 Sm 0.083 0.744 0.582
3 Sm 0.249 0.256 0.753
4 Sm 0.751 0.744 0.247
5 Sm 0.917 0.256 0.418
6 Er 0.334 0.996 0.331
7 Er 0.413 0.747 0.917
8 Er 0.500 0.500 0.500
9 Er 0.587 0.253 0.083
10 Er 0.666 0.004 0.669
11 Th 0.165 0.502 0.164
12 Th 0.835 0.498 0.836

VASP energy	-5.070	eV/atom
energy of formation	0.03	eV/atom
N(E_F)	16.91	states/eV per cell
M_tot	0.0	Bohr magnetons per cell

=====

[3]
The following is a GGA-PBE calculation of crystalline Na4In3CuO8 at its relaxed geometry, from Alexandria.

a = 6.604 Å, b = 6.604 Å, c = 6.548 Å
α = 118.01°, β = 118.01°, γ = 57.16°
Element x y z (fractional)
1 Na 0.000 0.000 0.000
2 Na 0.000 0.500 0.000
3 Na 0.500 0.000 0.000
4 Na 0.500 0.500 0.000
5 In 0.000 0.000 0.500
6 In 0.000 0.500 0.500
7 In 0.500 0.000 0.500
8 Cu 0.500 0.500 0.500
9 O 0.226 0.226 0.256
10 O 0.229 0.229 0.715
11 O 0.266 0.704 0.690
12 O 0.296 0.734 0.310
13 O 0.704 0.266 0.690
14 O 0.734 0.296 0.310
15 O 0.771 0.771 0.285
16 O 0.774 0.774 0.744

VASP energy	-5.006	eV/atom
formation energy from raw total energies	-1.428	eV/atom
M_tot	0.0	Bohr magnetons per cell

=====

[4]
The following is a GGA-PBE calculation of crystalline Ho3Sc2Tl6 at its relaxed geometry, from Alexandria.

a = 14.529 Å, b = 14.529 Å, c = 14.529 Å
α = 161.51°, β = 161.51°, γ = 26.27°
Element x y z (fractional)
1 Ho 0.000 0.000 0.000
2 Ho 0.198 0.198 0.000
3 Ho 0.802 0.802 0.000
4 Sc 0.450 0.450 0.000
5 Sc 0.550 0.550 0.000
6 Tl 0.113 0.613 0.500
7 Tl 0.305 0.305 0.000
8 Tl 0.387 0.887 0.500
9 Tl 0.613 0.113 0.500
10 Tl 0.695 0.695 0.000
11 Tl 0.887 0.387 0.500

VASP energy	-3.715	eV/atom
energy of formation	-0.02	eV/atom
N(E_F)	8.52	states/eV per cell
M_tot	0.0	Bohr magnetons per cell

=====

[5]
The following is a GGA-PBE calculation of crystalline ZrBe4Os at its relaxed geometry, from Alexandria.

a = 4.561 Å, b = 4.561 Å, c = 4.561 Å
α = 60.00°, β = 60.00°, γ = 60.00°
Element x y z (fractional)
1 Zr 0.000 0.000 0.000
2 Be 0.377 0.377 0.377
3 Be 0.377 0.377 0.870
4 Be 0.377 0.870 0.377
5 Be 0.870 0.377 0.377
6 Os 0.750 0.750 0.750

VASP energy	-6.216	eV/atom
energy of formation	-0.44	eV/atom
N(E_F)	0.52	states/eV per cell
M_tot	0.0	Bohr magnetons per cell

=====

[6]
The following is a GGA-PBE calculation of crystalline Sm5HoTm4 at its relaxed geometry, from Alexandria.

a = 7.861 Å, b = 7.861 Å, c = 7.861 Å
α = 99.22°, β = 99.22°, γ = 132.82°
Element x y z (fractional)
1 Sm 0.000 0.000 0.000
2 Sm 0.037 0.417 0.913
3 Sm 0.124 0.037 0.620
4 Sm 0.417 0.504 0.380
5 Sm 0.504 0.124 0.087
6 Ho 0.541 0.541 0.000
7 Tm 0.114 0.720 0.299
8 Tm 0.421 0.815 0.701
9 Tm 0.720 0.421 0.606
10 Tm 0.815 0.114 0.394

VASP energy	-4.302	eV/atom
energy of formation	0.30	eV/atom
N(E_F)	15.40	states/eV per cell
M_tot	0.0	Bohr magnetons per cell

=====

[7]
The following is a GGA-PBE calculation of crystalline TbSm6Y4 at its relaxed geometry, from Alexandria.

a = 5.666 Å, b = 5.666 Å, c = 25.837 Å
α = 90.00°, β = 90.00°, γ = 118.06°
Element x y z (fractional)
1 Tb 0.208 0.792 0.750
2 Tb 0.792 0.208 0.250
3 Sm 0.127 0.873 0.183
4 Sm 0.127 0.873 0.317
5 Sm 0.198 0.802 0.603
6 Sm 0.198 0.802 0.897
7 Sm 0.455 0.545 0.250
8 Sm 0.500 0.500 0.000
9 Sm 0.500 0.500 0.500
10 Sm 0.545 0.455 0.750
11 Sm 0.802 0.198 0.103
12 Sm 0.802 0.198 0.397
13 Sm 0.873 0.127 0.683
14 Sm 0.873 0.127 0.817
15 Y 0.151 0.849 0.044
16 Y 0.151 0.849 0.456
17 Y 0.461 0.539 0.123
18 Y 0.461 0.539 0.377
19 Y 0.539 0.461 0.623
20 Y 0.539 0.461 0.877
21 Y 0.849 0.151 0.544
22 Y 0.849 0.151 0.956

VASP energy	-5.226	eV/atom
energy of formation	0.12	eV/atom
N(E_F)	39.60	states/eV per cell
M_tot	0.0	Bohr magnetons per cell

=====

[8]
The following is a GGA-PBE calculation of crystalline Cr2FeGeN at its relaxed geometry, from Alexandria.

a = 3.831 Å, b = 3.831 Å, c = 3.761 Å
α = 90.00°, β = 90.00°, γ = 90.00°
Element x y z (fractional)
1 Cr 0.000 0.500 0.000
2 Cr 0.500 0.000 0.000
3 Fe 0.000 0.000 0.500
4 Ge 0.500 0.500 0.500
5 N 0.000 0.000 0.000

VASP energy	-8.332	eV/atom
N(E_F)	3.44	states/eV per cell
formation energy from raw total energies	-0.201	eV/atom
M_tot	2.5	Bohr magnetons per cell

=====

[9]
The following is a GGA-PBE calculation of crystalline Li2PmH8Pt at its relaxed geometry, from Alexandria.

a = 4.648 Å, b = 4.349 Å, c = 5.522 Å
α = 90.00°, β = 102.93°, γ = 90.00°
Element x y z (fractional)
1 Li 0.042 0.000 0.247
2 Li 0.958 0.000 0.753
3 Pm 0.500 0.500 0.000
4 H 0.050 0.500 0.201
5 H 0.268 0.239 0.594
6 H 0.268 0.761 0.594
7 H 0.286 0.000 0.036
8 H 0.714 0.000 0.964
9 H 0.732 0.239 0.406
10 H 0.732 0.761 0.406
11 H 0.950 0.500 0.799
12 Pt 0.000 0.500 0.500

VASP energy	-3.833	eV/atom
N(E_F)	1.02	states/eV per cell
M_tot	0.0	Bohr magnetons per cell

=====

[10]
The following is a GGA-PBE calculation of crystalline DyPtPb2 at its relaxed geometry, from Alexandria.

a = 10.445 Å, b = 10.445 Å, c = 10.445 Å
α = 19.75°, β = 19.75°, γ = 19.75°
Element x y z (fractional)
1 Dy 0.000 0.000 0.000
2 Pt 0.500 0.500 0.500
3 Pb 0.103 0.103 0.103
4 Pb 0.897 0.897 0.897

VASP energy	-4.504	eV/atom
energy of formation	0.01	eV/atom
N(E_F)	3.47	states/eV per cell
M_tot	0.0	Bohr magnetons per cell

=====

[11]
The following is a GGA-PBE calculation of crystalline Tb3UHg3Te8 at its relaxed geometry, from Alexandria.

a = 8.700 Å, b = 8.700 Å, c = 9.663 Å
α = 116.71°, β = 116.71°, γ = 60.00°
Element x y z (fractional)
1 Tb 0.000 0.000 0.000
2 Tb 0.000 0.500 0.000
3 Tb 0.500 0.000 0.000
4 U 0.500 0.500 0.000
5 Hg 0.000 0.500 0.500
6 Hg 0.500 0.000 0.500
7 Hg 0.500 0.500 0.500
8 Te 0.239 0.239 0.217
9 Te 0.249 0.732 0.213
10 Te 0.268 0.268 0.787
11 Te 0.268 0.751 0.787
12 Te 0.732 0.249 0.213
13 Te 0.732 0.732 0.213
14 Te 0.751 0.268 0.787
15 Te 0.761 0.761 0.783

VASP energy	-4.179	eV/atom
N(E_F)	10.32	states/eV per cell
formation energy from raw total energies	-0.765	eV/atom
M_tot	0.9	Bohr magnetons per cell

=====

[12]
The following is a GGA-PBE calculation of crystalline CrSbRh at its relaxed geometry, from Alexandria.

a = 4.499 Å, b = 4.499 Å, c = 6.924 Å
α = 114.64°, β = 114.64°, γ = 59.90°
Element x y z (fractional)
1 Cr 0.000 0.000 0.000
2 Cr 0.034 0.034 0.691
3 Sb 0.373 0.373 0.709
4 Sb 0.773 0.773 0.244
5 Rh 0.374 0.374 0.096
6 Rh 0.643 0.643 0.555

VASP energy	-7.037	eV/atom
N(E_F)	5.06	states/eV per cell
formation energy from raw total energies	-0.005	eV/atom
M_tot	0.2	Bohr magnetons per cell

=====

> Among the records above, which one has the highest M_tot?

Cr2FeGeN

=====

Copy entry 11 word for word.
The following is a GGA-PBE calculation of crystalline Tb3UHg3Te8 at its relaxed geometry, from Alexandria.

a = 8.700 Å, b = 8.700 Å, c = 9.663 Å
α = 116.71°, β = 116.71°, γ = 60.00°
Element x y z (fractional)
1 Tb 0.000 0.000 0.000
2 Tb 0.000 0.500 0.000
3 Tb 0.500 0.000 0.000
4 U 0.500 0.500 0.000
5 Hg 0.000 0.500 0.500
6 Hg 0.500 0.000 0.500
7 Hg 0.500 0.500 0.500
8 Te 0.239 0.239 0.217
9 Te 0.249 0.732 0.213
10 Te 0.268 0.268 0.787
11 Te 0.268 0.751 0.787
12 Te 0.732 0.249 0.213
13 Te 0.732 0.732 0.213
14 Te 0.751 0.268 0.787
15 Te 0.761 0.761 0.783

VASP energy	-4.179	eV/atom
N(E_F)	10.32	states/eV per cell
formation energy from raw total energies	-0.765	eV/atom
M_tot	0.9	Bohr magnetons per cell

=====

> Which of these has the lowest VASP energy?

Cr2FeGeN

=====

Repeat the fourth record exactly.
The following is a GGA-PBE calculation of crystalline Ho3Sc2Tl6 at its relaxed geometry, from Alexandria.

a = 14.529 Å, b = 14.529 Å, c = 14.529 Å
α = 161.51°, β = 161.51°, γ = 26.27°
Element x y z (fractional)
1 Ho 0.000 0.000 0.000
2 Ho 0.198 0.198 0.000
3 Ho 0.802 0.802 0.000
4 Sc 0.450 0.450 0.000
5 Sc 0.550 0.550 0.000
6 Tl 0.113 0.613 0.500
7 Tl 0.305 0.305 0.000
8 Tl 0.387 0.887 0.500
9 Tl 0.613 0.113 0.500
10 Tl 0.695 0.695 0.000
11 Tl 0.887 0.387 0.500

VASP energy	-3.715	eV/atom
energy of formation	-0.02	eV/atom
N(E_F)	8.52	states/eV per cell
M_tot	0.0	Bohr magnetons per cell